Computed, not measured: a geometry-optimized Y3Pt structure at the GGA-PBE level of DFT.

Lattice parameters (Å, degrees): 6.152 8.930 8.930 83.19 69.85 69.85
Fractional positions:
Y 0.155 0.000 0.192
Y 0.411 0.593 0.000
Pt 0.000 0.293 0.708
Pt 0.292 0.708 0.707
Pt 0.707 0.292 0.293
Y 0.589 0.000 0.407
Y 0.143 0.357 0.357
Y 0.500 0.357 0.643
Y 0.347 0.000 0.808
Y 0.500 0.643 0.357
Y 0.857 0.643 0.643
Pt 0.000 0.707 0.292
Y 0.844 0.808 0.000
Y 0.995 0.000 0.593
Y 0.004 0.407 0.000
Y 0.653 0.192 0.000

- DOS(E_F): 24.41 states/eV per cell


Computed, not measured: a geometry-optimized GdSc2Hg structure at the GGA-PBE level of DFT.

Lattice parameters (Å, degrees): 3.338 3.338 11.128 81.37 81.37 60.00
Site moments in Bohr magnetons follow the coordinates.
Fractional positions:
Hg 0.500 0.500 0.500  -0.01
Sc 0.904 0.904 0.288  -0.18
Gd 0.000 0.000 0.000  -7.43
Sc 0.096 0.096 0.712  -0.18

- Polymorph energy (0 for the lowest one): 262 meV/atom
- DOS(E_F): 5.93 states/eV per cell


Computed, not measured: a geometry-optimized Sc2BRu structure at the GGA-PBE level of DFT.

Lattice parameters (Å, degrees): 8.800 8.800 6.533 47.66 47.66 90.00
Fractional positions:
Sc 0.465 0.125 0.250
Ru 0.750 0.250 0.500
B 0.250 0.750 0.500
Sc 0.375 0.535 0.750
Ru 0.000 0.000 0.000
B 0.500 0.500 0.000
Sc 0.285 0.625 0.250
Sc 0.875 0.715 0.750

- DOS(E_F): 8.17 states/eV per cell


| no. | E_form (eV/atom) |
| --- | --- |
| 1 | -0.642 |
| 2 | 0.084 |
| 3 | -0.089 |